<one>
{
  "formula": "KTeN2Cl",
  "functional": "PBE-GGA",
  "state": "relaxed",
  "crystal_system": "tetragonal",
  "magmom_total_mub_per_cell": 6.352,
  "dos_ef_per_ev_cell": 4.5,
  "cell": [[5.0637, 0.0000, 0.0000], [0.0000, 5.0637, 0.0000], [0.0000, 0.0000, 7.0990]],
  "species": ["K", "Te", "N", "N", "Cl"],
  "frac_coords": [[0.0000, 0.0000, 0.0000], [0.0000, 0.0000, 0.5000], [0.0000, 0.5000, 0.0000], [0.5000, 0.0000, 0.0000], [0.5000, 0.5000, 0.5000]]
}

***

<two>
{
  "formula": "KTeN2Cl",
  "functional": "PBE-GGA",
  "state": "relaxed",
  "crystal_system": "tetragonal",
  "magmom_total_mub_per_cell": 4.815,
  "dos_ef_per_ev_cell": 2.9,
  "cell": [[4.8624, 0.0000, 0.0000], [0.0000, 4.8624, 0.0000], [0.0000, 0.0000, 5.5063]],
  "species": ["K", "Te", "N", "N", "Cl"],
  "frac_coords": [[0.0000, 0.0000, 0.0000], [0.5000, 0.5000, 0.0000], [0.0000, 0.5000, 0.5000], [0.5000, 0.0000, 0.5000], [0.5000, 0.5000, 0.5000]]
}

***

Energy relative to the most stable one, in eV/atom: <one> 0.194; <two> 0.000